# 1
First-principles (PBE) data for crystalline TbAs2Pt4 at its relaxed geometry, as listed in Alexandria.

The total moment comes out at 0.000 Bohr magnetons per cell. The value obtained for the volume is 249.82 Å³/cell. The value obtained for the formation energy is -4.3 eV/f.u.

Cell: 3.983 7.920 7.920 Å, 90.00 90.00 90.00°
Fractional coordinates of all 14 atoms:
As 0.000 0.221 0.779
As 0.000 0.779 0.221
As 0.500 0.721 0.721
As 0.500 0.279 0.279
Tb 0.500 0.000 0.000
Tb 0.000 0.500 0.500
Pt 0.000 0.077 0.324
Pt 0.000 0.923 0.676
Pt 0.500 0.176 0.577
Pt 0.500 0.824 0.423
Pt 0.500 0.423 0.824
Pt 0.500 0.577 0.176
Pt 0.000 0.324 0.077
Pt 0.000 0.676 0.923

# 2
First-principles (PBE) data for crystalline Sr4CrCd at its relaxed geometry, as listed in Alexandria.

The total moment comes out at 4.613 Bohr magnetons per cell. The value obtained for the volume is 265.00 Å³/cell. The value obtained for the formation energy is 4.3 eV/f.u.

Cell: 7.210 7.210 7.210 Å, 60.00 60.00 60.00°
Site moments in Bohr magnetons follow the coordinates.
Fractional coordinates of all 6 atoms:
Sr 0.875 0.375 0.375  -0.03
Sr 0.375 0.375 0.875  -0.03
Sr 0.375 0.875 0.375  -0.03
Sr 0.375 0.375 0.375  -0.03
Cr 0.000 0.000 0.000  4.13
Cd 0.750 0.750 0.750  -0.01

# 3
First-principles (PBE) data for crystalline Pr2DyEr2Tm2 at its relaxed geometry, as listed in Alexandria.

The total moment comes out at 0.000 Bohr magnetons per cell. The value obtained for the volume is 228.52 Å³/cell. The value obtained for the formation energy is 0.6 eV/f.u.

Cell: 3.505 6.105 11.800 Å, 71.72 90.00 106.68°
Fractional coordinates of all 7 atoms:
Pr 0.671 0.343 0.915
Pr 0.329 0.657 0.085
Dy 0.000 0.000 0.500
Er 0.451 0.902 0.768
Er 0.549 0.098 0.232
Tm 0.773 0.546 0.366
Tm 0.227 0.454 0.634

# 4
First-principles (PBE) data for crystalline Ac6HgIr2Pt3 at its relaxed geometry, as listed in Alexandria.

The total moment comes out at 0.000 Bohr magnetons per cell. The value obtained for the volume is 365.98 Å³/cell. The value obtained for the formation energy is -10.1 eV/f.u.

Cell: 4.401 8.905 9.791 Å, 101.53 102.99 90.00°
Fractional coordinates of all 12 atoms:
Ac 0.322 0.896 0.644
Ac 0.670 0.581 0.339
Ac 0.678 0.104 0.356
Ac 0.008 0.276 0.016
Ac 0.992 0.724 0.984
Ac 0.330 0.419 0.661
Hg 0.500 0.000 0.000
Ir 0.833 0.666 0.666
Ir 0.167 0.334 0.334
Pt 0.500 0.500 0.000
Pt 0.841 0.160 0.682
Pt 0.159 0.840 0.318

# 5
First-principles (PBE) data for crystalline RbInSN2 at its relaxed geometry, as listed in Alexandria.

As for the uncorrected formation energy: 0.926 eV per atom. The relative energy among the computed polymorphs comes out at 0.0 meV/atom. The total moment comes out at 4.008 Bohr magnetons per cell. The value obtained for the volume is 110.16 Å³/cell.

Cell: 4.591 4.591 5.225 Å, 90.00 90.00 90.00°
Site moments in Bohr magnetons follow the coordinates.
Fractional coordinates of all 5 atoms:
S 0.000 0.000 0.500  0.29
N 0.000 0.500 0.000  1.19
N 0.500 0.000 0.000  1.19
Rb 0.500 0.500 0.500  0.01
In 0.000 0.000 0.000  -0.04

# 6
First-principles (PBE) data for crystalline MnGaPt4 at its relaxed geometry, as listed in Alexandria.

The relative energy among the computed polymorphs comes out at 19.1 meV/atom. The total moment comes out at 3.726 Bohr magnetons per cell. The value obtained for the volume is 101.23 Å³/cell. The value obtained for the formation energy is -1.7 eV/f.u.

Cell: 4.181 4.181 5.789 Å, 90.00 90.00 90.00°
Site moments in Bohr magnetons follow the coordinates.
Fractional coordinates of all 6 atoms:
Mn 0.501 0.497 0.998  3.24
Ga 0.001 0.997 0.498  -0.03
Pt 0.501 0.997 0.248  0.11
Pt 0.501 0.997 0.748  0.11
Pt 0.001 0.497 0.748  0.11
Pt 0.001 0.497 0.248  0.11

# 7
First-principles (PBE) data for crystalline Ce6AgHg3 at its relaxed geometry, as listed in Alexandria.

The total moment comes out at 5.189 Bohr magnetons per cell. The value obtained for the volume is 276.46 Å³/cell. The value obtained for the formation energy is -0.6 eV/f.u.

Cell: 8.321 6.188 6.188 Å, 64.39 76.67 76.67°
Site moments in Bohr magnetons follow the coordinates.
Fractional coordinates of all 10 atoms:
Ce 0.343 0.047 0.633  0.50
Ce 0.657 0.367 0.953  0.50
Ce 0.657 0.953 0.367  0.50
Ce 0.343 0.633 0.047  0.50
Ce 0.076 0.650 0.650  1.05
Ce 0.924 0.350 0.350  1.05
Ag 0.500 0.500 0.500  0.01
Hg 0.292 0.123 0.123  0.01
Hg 0.708 0.877 0.877  0.01
Hg 0.000 0.000 0.000  0.00

# 8
First-principles (PBE) data for crystalline La6Ni20As13 at its relaxed geometry, as listed in Alexandria.

The total moment comes out at 0.000 Bohr magnetons per cell. The value obtained for the volume is 617.63 Å³/cell. The value obtained for the formation energy is -27.1 eV/f.u.

Cell: 13.297 13.297 4.034 Å, 90.00 90.00 120.00°
Fractional coordinates of all 39 atoms:
La 0.533 0.817 0.000
La 0.283 0.467 0.000
La 0.183 0.717 0.000
La 0.816 0.280 0.500
La 0.464 0.184 0.500
La 0.720 0.536 0.500
Ni 0.804 0.916 0.000
Ni 0.112 0.196 0.000
Ni 0.084 0.888 0.000
Ni 0.333 0.667 0.500
Ni 0.940 0.079 0.500
Ni 0.140 0.060 0.500
Ni 0.921 0.860 0.500
Ni 0.667 0.333 0.000
Ni 0.562 0.586 0.000
Ni 0.023 0.438 0.000
Ni 0.414 0.977 0.000
Ni 0.693 0.764 0.500
Ni 0.071 0.307 0.500
Ni 0.236 0.929 0.500
Ni 0.975 0.564 0.500
Ni 0.589 0.025 0.500
Ni 0.436 0.411 0.500
Ni 0.758 0.078 0.000
Ni 0.320 0.242 0.000
Ni 0.922 0.680 0.000
As 0.484 0.615 0.500
As 0.131 0.516 0.500
As 0.385 0.869 0.500
As 0.732 0.964 0.500
As 0.233 0.268 0.500
As 0.036 0.767 0.500
As 0.867 0.479 0.000
As 0.612 0.133 0.000
As 0.521 0.388 0.000
As 0.959 0.233 0.000
As 0.275 0.041 0.000
As 0.767 0.725 0.000
As 0.000 0.000 0.000

# 9
First-principles (PBE) data for crystalline Ba2SiRu at its relaxed geometry, as listed in Alexandria.

As for the uncorrected formation energy: -0.011 eV per atom. The total moment comes out at 0.000 Bohr magnetons per cell. The value obtained for the volume is 318.58 Å³/cell.

Cell: 11.698 11.698 8.593 Å, 47.10 47.10 90.00°
Fractional coordinates of all 8 atoms:
Ru 0.000 0.000 0.000
Ru 0.750 0.250 0.500
Si 0.500 0.500 0.000
Si 0.250 0.750 0.500
Ba 0.809 0.125 0.250
Ba 0.941 0.625 0.250
Ba 0.375 0.191 0.750
Ba 0.875 0.059 0.750

# 10
First-principles (PBE) data for crystalline Ge3SCl at its relaxed geometry, as listed in Alexandria.

As for the uncorrected formation energy: 0.963 eV per atom. The relative energy among the computed polymorphs comes out at 456.7 meV/atom. The total moment comes out at 0.000 Bohr magnetons per cell. The value obtained for the volume is 125.26 Å³/cell.

Cell: 5.003 5.003 5.003 Å, 90.00 90.00 90.00°
Fractional coordinates of all 5 atoms:
Ge 0.000 0.500 0.000
Ge 0.000 0.000 0.500
Ge 0.500 0.000 0.000
S 0.500 0.500 0.500
Cl 0.000 0.000 0.000

# 11
First-principles (PBE) data for crystalline CaSi3Ni9 at its relaxed geometry, as listed in Alexandria.

As for the uncorrected formation energy: -0.399 eV per atom. The total moment comes out at 0.000 Bohr magnetons per cell. The value obtained for the volume is 157.98 Å³/cell.

Cell: 4.783 6.101 6.281 Å, 82.06 67.62 68.73°
Fractional coordinates of all 13 atoms:
Ca 0.000 0.000 0.000
Si 0.500 0.500 0.000
Si 0.000 0.000 0.500
Si 0.500 0.000 0.500
Ni 0.717 0.775 0.771
Ni 0.283 0.225 0.229
Ni 0.512 0.225 0.771
Ni 0.488 0.775 0.229
Ni 0.664 0.343 0.356
Ni 0.336 0.657 0.644
Ni 0.980 0.657 0.356
Ni 0.020 0.343 0.644
Ni 0.000 0.500 0.000

# 12
First-principles (PBE) data for crystalline CdP2RuS at its relaxed geometry, as listed in Alexandria.

As for the uncorrected formation energy: 0.390 eV per atom. The relative energy among the computed polymorphs comes out at 0.0 meV/atom. The total moment comes out at 0.000 Bohr magnetons per cell. The value obtained for the volume is 105.13 Å³/cell.

Cell: 4.433 4.433 5.350 Å, 90.00 90.00 90.00°
Fractional coordinates of all 5 atoms:
Ru 0.000 0.000 0.000
S 0.000 0.000 0.500
P 0.000 0.500 0.000
P 0.500 0.000 0.000
Cd 0.500 0.500 0.500